# 1
This record from Alexandria via LeMat-Bulk describes an optimized crystal structure of AcSmSbPd. The functional is PBE-GGA.

Output
ΔE_f (raw) (meV per atom): -726

Cell and atoms, written as extended XYZ:
```
16
Lattice="7.7009 0.0000 0.0000 0.0000 7.7009 0.0000 0.0000 0.0000 7.7009" Properties=species:S:1:pos:R:3 pbc="T T T"
Ac 0.0000 0.0000 0.0000
Ac 0.0000 3.8505 3.8505
Ac 3.8505 0.0000 3.8505
Ac 3.8505 3.8505 0.0000
Sm 0.0000 0.0000 3.8505
Sm 0.0000 3.8505 0.0000
Sm 3.8505 0.0000 0.0000
Sm 3.8505 3.8505 3.8505
Sb 1.9252 1.9252 1.9252
Sb 1.9252 5.7757 5.7757
Sb 5.7757 1.9252 5.7757
Sb 5.7757 5.7757 1.9252
Pd 1.9252 1.9252 5.7757
Pd 1.9252 5.7757 1.9252
Pd 5.7757 1.9252 1.9252
Pd 5.7757 5.7757 5.7757
```

=====

# 2
This record from Alexandria via LeMat-Bulk describes an optimized crystal structure of Sc4Hg2I. The functional is PBE-GGA.

Output
ΔE_f (raw) (meV per atom): 69

Cell and atoms, written as extended XYZ:
```
14
Lattice="5.2168 0.0000 0.0000 0.0000 5.2168 0.0000 0.0000 0.0000 14.2163" Properties=species:S:1:pos:R:3 pbc="T T T"
Sc 0.0000 0.0000 2.7982
Sc 0.0000 0.0000 11.4181
Sc 0.0000 2.6084 0.0000
Sc 0.0000 2.6084 7.1081
Sc 2.6084 0.0000 0.0000
Sc 2.6084 0.0000 7.1081
Sc 2.6084 2.6084 4.3100
Sc 2.6084 2.6084 9.9063
Hg 0.0000 0.0000 5.5410
Hg 0.0000 0.0000 8.6753
Hg 2.6084 2.6084 1.5672
Hg 2.6084 2.6084 12.6491
I 0.0000 0.0000 0.0000
I 2.6084 2.6084 7.1081
```